{"formula": "CuI3O", "functional": "GGA-PBEsol", "state": "relaxed", "cell": [[4.952, 0.000, 0.000], [0.000, 4.952, 0.000], [0.000, 0.000, 4.952]], "species": ["Cu", "I", "I", "I", "O"], "frac_coords": [[0.000, 0.000, 0.000], [0.000, 0.500, 0.500], [0.500, 0.000, 0.500], [0.500, 0.500, 0.000], [0.500, 0.500, 0.500]], "magmom_total_mub_per_fu": 0.0, "volume_a3_per_cell": 121.4, "dft_energy_ev_per_cell": -11.70, "crystal_system": "cubic", "e_form_raw_ev_per_atom": 0.64}